{"formula": "HfZr2FeO", "functional": "GGA+U", "state": "optimized geometry", "rho_g_cm3": 6.01, "final_energy_ev_per_atom": -6.98, "lattice_angstrom": [[-5.4297, -0.9927, -0.6232], [-0.2805, -0.8341, 3.7724], [-1.1009, 5.3328, 1.0973]], "species": ["Hf", "Zr", "O", "Zr", "Fe"], "fractional_positions": [[0.0000, 0.0000, 0.0000], [0.0000, 0.0000, 0.5000], [0.0000, 0.5000, 0.0000], [0.5000, 0.0000, 0.0000], [0.5000, 0.5000, 0.5000]]}